Entry 1:
First-principles (PBE-GGA) data for a relaxed structure of RbAlOs, as listed in Alexandria via LeMat-Bulk.

Calculated values
* DFT formation energy: 0.322 eV/atom
* E_tot: -4.99 eV/atom
* energy relative to the lowest polymorph listed for this composition: 0.126 eV per atom

Unit cell a=4.4051 b=13.0580 c=5.2419 alpha=90.00 beta=90.00 gamma=90.00
Atoms (fractional coordinates):
Os (0.0000, 0.5145, 0.2500)
Os (0.0000, 0.4855, 0.7500)
Os (0.5000, 0.0145, 0.2500)
Os (0.5000, 0.9855, 0.7500)
Al (0.0000, 0.0000, 0.0000)
Al (0.0000, 0.0000, 0.5000)
Al (0.5000, 0.5000, 0.0000)
Al (0.5000, 0.5000, 0.5000)
Rb (0.0000, 0.2654, 0.2500)
Rb (0.0000, 0.7346, 0.7500)
Rb (0.5000, 0.7654, 0.2500)
Rb (0.5000, 0.2346, 0.7500)

---

Entry 2:
First-principles (PBE-GGA) data for a relaxed structure of RbAl2Os, as listed in Alexandria via LeMat-Bulk.

Calculated values
* DFT formation energy: 0.446 eV/atom
* E_tot: -4.47 eV/atom
* energy relative to the lowest polymorph listed for this composition: 0.000 eV per atom

Unit cell a=6.5077 b=6.5077 c=8.1916 alpha=66.60 beta=66.60 gamma=90.00
Atoms (fractional coordinates):
Os (0.0000, 0.0000, 0.0000)
Os (0.7500, 0.2500, 0.5000)
Al (0.8746, 0.1250, 0.2500)
Al (0.8754, 0.6250, 0.2500)
Al (0.3750, 0.1254, 0.7500)
Al (0.8750, 0.1246, 0.7500)
Rb (0.5000, 0.5000, 0.0000)
Rb (0.2500, 0.7500, 0.5000)

---

Entry 3:
First-principles (PBE-GGA) data for a relaxed structure of RbAlOs, as listed in Alexandria via LeMat-Bulk.

Calculated values
* DFT formation energy: 0.197 eV/atom
* E_tot: -5.12 eV/atom
* energy relative to the lowest polymorph listed for this composition: 0.000 eV per atom

Unit cell a=4.9581 b=4.3212 c=10.5667 alpha=90.00 beta=94.58 gamma=90.00
Atoms (fractional coordinates):
Os (0.6167, 0.2500, 0.0051)
Os (0.3833, 0.7500, 0.9949)
Al (0.1179, 0.2500, 0.0611)
Al (0.8821, 0.7500, 0.9389)
Rb (0.2800, 0.2500, 0.7143)
Rb (0.7200, 0.7500, 0.2857)

---

Entry 4:
First-principles (PBE-GGA) data for a relaxed structure of RbAlOs, as listed in Alexandria via LeMat-Bulk.

Calculated values
* DFT formation energy: 0.321 eV/atom
* E_tot: -4.99 eV/atom
* energy relative to the lowest polymorph listed for this composition: 0.124 eV per atom

Unit cell a=4.3455 b=13.0166 c=5.2629 alpha=90.00 beta=90.00 gamma=90.00
Atoms (fractional coordinates):
Os (0.0000, 0.5000, 0.0000)
Os (0.0000, 0.5000, 0.5000)
Os (0.5000, 0.0000, 0.0000)
Os (0.5000, 0.0000, 0.5000)
Al (0.0000, 0.9726, 0.2500)
Al (0.0000, 0.0274, 0.7500)
Al (0.5000, 0.4726, 0.2500)
Al (0.5000, 0.5274, 0.7500)
Rb (0.0000, 0.2249, 0.2500)
Rb (0.0000, 0.7751, 0.7500)
Rb (0.5000, 0.7249, 0.2500)
Rb (0.5000, 0.2751, 0.7500)

---

Entry 5:
First-principles (PBE-GGA) data for a relaxed structure of RbAlOs, as listed in Alexandria via LeMat-Bulk.

Calculated values
* DFT formation energy: 0.228 eV/atom
* E_tot: -5.09 eV/atom
* energy relative to the lowest polymorph listed for this composition: 0.031 eV per atom

Unit cell a=5.0444 b=4.3641 c=7.4123 alpha=90.00 beta=92.48 gamma=90.00
Atoms (fractional coordinates):
Os (0.6165, 0.2500, 0.0052)
Os (0.3835, 0.7500, 0.9948)
Al (0.1153, 0.2500, 0.0794)
Al (0.8847, 0.7500, 0.9206)
Rb (0.2607, 0.2500, 0.6170)
Rb (0.7393, 0.7500, 0.3830)

---

Entry 6:
First-principles (PBE-GGA) data for a relaxed structure of RbAl2Os, as listed in Alexandria via LeMat-Bulk.

Calculated values
* DFT formation energy: 0.979 eV/atom
* E_tot: -3.94 eV/atom
* energy relative to the lowest polymorph listed for this composition: 0.533 eV per atom

Unit cell a=4.7886 b=4.7886 c=4.7886 alpha=60.00 beta=60.00 gamma=60.00
Atoms (fractional coordinates):
Os (0.5000, 0.5000, 0.5000)
Al (0.2500, 0.2500, 0.2500)
Al (0.7500, 0.7500, 0.7500)
Rb (0.0000, 0.0000, 0.0000)

---

Entry 7:
First-principles (PBE-GGA) data for a relaxed structure of RbAlOsSe2, as listed in Alexandria via LeMat-Bulk.

Calculated values
* raw formation energy: 2217 meV per atom
* E_tot: -2.36 eV/atom

Unit cell a=5.8942 b=5.9092 c=5.8942 alpha=90.00 beta=90.00 gamma=90.00
Atoms (fractional coordinates):
Os (0.5000, 0.5000, 0.5000)
Se (0.0000, 0.0000, 0.5000)
Se (0.5000, 0.0000, 0.0000)
Rb (0.0000, 0.0000, 0.0000)
Al (0.0000, 0.5000, 0.0000)

---

Entry 8:
First-principles (PBE-GGA) data for a relaxed structure of AlReOs2, as listed in Alexandria via LeMat-Bulk.

Calculated values
* DFT formation energy: 0.018 eV/atom
* E_tot: -9.64 eV/atom

Unit cell a=4.7151 b=4.7151 c=4.7221 alpha=80.33 beta=80.33 gamma=34.13
Atoms (fractional coordinates):
Re (0.7500, 0.7500, 0.7500)
Os (0.0053, 0.0053, 0.0006)
Os (0.4947, 0.4947, 0.4994)
Al (0.2500, 0.2500, 0.2500)

---

Entry 9:
First-principles (PBE-GGA) data for a relaxed structure of AlReOs2, as listed in Alexandria via LeMat-Bulk.

Calculated values
* DFT formation energy: 0.171 eV/atom
* E_tot: -9.49 eV/atom

Unit cell a=4.3412 b=4.3412 c=4.3412 alpha=60.00 beta=60.00 gamma=60.00
Atoms (fractional coordinates):
Re (0.7500, 0.7500, 0.7500)
Os (0.0000, 0.0000, 0.0000)
Os (0.2500, 0.2500, 0.2500)
Al (0.5000, 0.5000, 0.5000)

---

Entry 10:
First-principles (PBE-GGA) data for a relaxed structure of AlRe3Os, as listed in Alexandria via LeMat-Bulk.

Calculated values
* DFT formation energy: 1.876 eV/atom
* E_tot: -8.59 eV/atom
* energy relative to the lowest polymorph listed for this composition: 0.000 eV per atom

Unit cell a=4.3548 b=4.3548 c=4.3548 alpha=90.00 beta=90.00 gamma=90.00
Atoms (fractional coordinates):
Re (0.0000, 0.5000, 0.0000)
Re (0.0000, 0.0000, 0.5000)
Re (0.5000, 0.0000, 0.0000)
Os (0.5000, 0.5000, 0.5000)
Al (0.0000, 0.0000, 0.0000)

---

Entry 11:
First-principles (PBE-GGA) data for a relaxed structure of AlReOs2, as listed in Alexandria via LeMat-Bulk.

Calculated values
* DFT formation energy: -0.039 eV/atom
* E_tot: -9.70 eV/atom

Unit cell a=2.8265 b=2.8265 c=7.1642 alpha=90.00 beta=90.00 gamma=90.00
Atoms (fractional coordinates):
Re (0.0000, 0.0000, 0.5028)
Os (0.0000, 0.0000, 0.9916)
Os (0.5000, 0.5000, 0.2501)
Al (0.5000, 0.5000, 0.7555)

---

Entry 12:
First-principles (PBE-GGA) data for a relaxed structure of AlReOs2, as listed in Alexandria via LeMat-Bulk.

Calculated values
* DFT formation energy: -0.032 eV/atom
* E_tot: -9.69 eV/atom

Unit cell a=4.7894 b=4.7894 c=4.6414 alpha=78.90 beta=78.90 gamma=33.96
Atoms (fractional coordinates):
Re (0.4934, 0.4934, 0.5299)
Os (0.0070, 0.0070, 0.0352)
Os (0.7444, 0.7444, 0.7155)
Al (0.2552, 0.2552, 0.2194)

---

Entry 13:
First-principles (PBE-GGA) data for a relaxed structure of AlReOs2, as listed in Alexandria via LeMat-Bulk.

Calculated values
* DFT formation energy: 0.229 eV/atom
* E_tot: -9.43 eV/atom

Unit cell a=2.7393 b=2.7393 c=8.6806 alpha=90.00 beta=90.00 gamma=116.03
Atoms (fractional coordinates):
Re (0.5000, 0.5000, 0.2500)
Os (0.0000, 0.0000, 0.9921)
Os (0.0000, 0.0000, 0.5079)
Al (0.5000, 0.5000, 0.7500)

---

Entry 14:
First-principles (PBE-GGA) data for a relaxed structure of AlReOs2, as listed in Alexandria via LeMat-Bulk.

Calculated values
* DFT formation energy: 1.202 eV/atom
* E_tot: -8.46 eV/atom

Unit cell a=5.8272 b=5.8272 c=6.5826 alpha=63.73 beta=63.73 gamma=90.00
Atoms (fractional coordinates):
Re (0.0000, 0.0000, 0.0000)
Re (0.7500, 0.2500, 0.5000)
Os (0.6353, 0.1250, 0.2500)
Os (0.1147, 0.6250, 0.2500)
Os (0.3750, 0.3647, 0.7500)
Os (0.8750, 0.8853, 0.7500)
Al (0.5000, 0.5000, 0.0000)
Al (0.2500, 0.7500, 0.5000)

---

Entry 15:
First-principles (PBE-GGA) data for a relaxed structure of AlReOs2, as listed in Alexandria via LeMat-Bulk.

Calculated values
* DFT formation energy: -0.007 eV/atom
* E_tot: -9.67 eV/atom

Unit cell a=5.1390 b=5.1390 c=5.1390 alpha=146.70 beta=129.32 gamma=62.00
Atoms (fractional coordinates):
Re (0.4883, 0.4883, 0.0000)
Os (0.0163, 0.0163, 0.0000)
Os (0.7472, 0.2472, 0.5000)
Al (0.2482, 0.7482, 0.5000)

---

Entry 16:
First-principles (PBE-GGA) data for a relaxed structure of AlReOs2, as listed in Alexandria via LeMat-Bulk.

Calculated values
* DFT formation energy: 0.042 eV/atom
* E_tot: -9.62 eV/atom

Unit cell a=2.9429 b=4.4321 c=4.4321 alpha=90.00 beta=90.00 gamma=90.00
Atoms (fractional coordinates):
Re (0.5000, 0.5000, 0.0000)
Os (0.0000, 0.0000, 0.0000)
Os (0.0000, 0.5000, 0.5000)
Al (0.5000, 0.0000, 0.5000)

---

Entry 17:
First-principles (PBE-GGA) data for a relaxed structure of AlReOs3, as listed in Alexandria via LeMat-Bulk.

Calculated values
* DFT formation energy: 2.141 eV/atom
* E_tot: -7.84 eV/atom
* energy relative to the lowest polymorph listed for this composition: 0.370 eV per atom

Unit cell a=4.6959 b=4.6959 c=4.6959 alpha=90.00 beta=90.00 gamma=90.00
Atoms (fractional coordinates):
Re (0.0000, 0.0000, 0.0000)
Os (0.0000, 0.5000, 0.0000)
Os (0.0000, 0.0000, 0.5000)
Os (0.5000, 0.0000, 0.0000)
Al (0.5000, 0.5000, 0.5000)

---

Entry 18:
First-principles (PBE-GGA) data for a relaxed structure of AlReOs2, as listed in Alexandria via LeMat-Bulk.

Calculated values
* DFT formation energy: -0.021 eV/atom
* E_tot: -9.68 eV/atom

Unit cell a=3.9666 b=2.8038 c=5.9497 alpha=61.81 beta=90.00 gamma=90.00
Atoms (fractional coordinates):
Re (0.0000, 0.5118, 0.4909)
Os (0.0000, 0.0330, 0.9657)
Os (0.5000, 0.2235, 0.2746)
Al (0.5000, 0.7316, 0.7689)

---

Entry 19:
First-principles (PBE-GGA) data for a relaxed structure of AlReOs2, as listed in Alexandria via LeMat-Bulk.

Calculated values
* DFT formation energy: 0.024 eV/atom
* E_tot: -9.64 eV/atom

Unit cell a=4.6099 b=4.6099 c=2.8105 alpha=90.00 beta=90.00 gamma=103.98
Atoms (fractional coordinates):
Re (0.5000, 0.0000, 0.5000)
Os (0.0000, 0.0000, 0.0000)
Os (0.5000, 0.5000, 0.0000)
Al (0.0000, 0.5000, 0.5000)

---

Entry 20:
First-principles (PBE-GGA) data for a relaxed structure of AlReOs2, as listed in Alexandria via LeMat-Bulk.

Calculated values
* DFT formation energy: -0.070 eV/atom
* E_tot: -9.73 eV/atom

Unit cell a=8.8154 b=8.8154 c=8.8154 alpha=18.14 beta=18.14 gamma=18.14
Atoms (fractional coordinates):
Re (0.2500, 0.2500, 0.2500)
Os (0.0002, 0.0002, 0.0002)
Os (0.4998, 0.4998, 0.4998)
Al (0.7500, 0.7500, 0.7500)

---

| no. | magnetic moment (μB/atom) |
| --- | --- |
| 1 | 0.000 |
| 2 | 0.000 |
| 3 | 0.000 |
| 4 | 0.000 |
| 5 | 0.000 |
| 6 | 0.000 |
| 7 | 1.200 |
| 8 | 0.000 |
| 9 | 0.000 |
| 10 | 0.000 |
| 11 | 0.000 |
| 12 | 0.000 |
| 13 | 0.000 |
| 14 | 0.000 |
| 15 | 0.000 |
| 16 | 0.000 |
| 17 | 0.000 |
| 18 | 0.000 |
| 19 | 0.000 |
| 20 | 0.000 |